1.
## LiHfPa2As4 (PBE)

Data for an optimized crystal structure of LiHfPa2As4.

Summary:
ΔE_f	-0.9196	eV per atom
space group	P2/m, No. 10

The structure in CIF format:
```
data_LiHfPa2As4
_chemical_formula_sum 'Li1 Hf1 Pa2 As4'
_space_group_name_H-M_alt 'P 1'
_space_group_IT_number 1
_cell_length_a 4.042
_cell_length_b 7.052
_cell_length_c 6.632
_cell_angle_alpha 110.47
_cell_angle_beta 90.00
_cell_angle_gamma 90.00
loop_
_space_group_symop_operation_xyz
'x,y,z'
loop_
_atom_site_label
_atom_site_type_symbol
_atom_site_fract_x
_atom_site_fract_y
_atom_site_fract_z
As1 As 0.500 0.754 0.767
As2 As 0.000 0.253 0.765
As3 As 0.500 0.246 0.233
Pa1 Pa 0.500 0.000 0.500
Hf1 Hf 0.000 0.000 0.000
Li1 Li 0.500 0.500 0.000
As4 As 0.000 0.747 0.235
Pa2 Pa 0.000 0.500 0.500
```



2.
## CaY3Si (PBE)

Data for an optimized crystal structure of CaY3Si.

Summary:
space group	Pm-3m, No. 221
uncorrected formation energy	-115	meV per atom

The structure in CIF format:
```
data_CaY3Si
_chemical_formula_sum 'Ca1 Y3 Si1'
_space_group_name_H-M_alt 'P 1'
_space_group_IT_number 1
_cell_length_a 5.557
_cell_length_b 5.557
_cell_length_c 5.557
_cell_angle_alpha 90.00
_cell_angle_beta 90.00
_cell_angle_gamma 90.00
loop_
_space_group_symop_operation_xyz
'x,y,z'
loop_
_atom_site_label
_atom_site_type_symbol
_atom_site_fract_x
_atom_site_fract_y
_atom_site_fract_z
Y1 Y 0.000 0.000 0.500
Y2 Y 0.500 0.000 0.000
Ca1 Ca 0.500 0.500 0.500
Si1 Si 0.000 0.000 0.000
Y3 Y 0.000 0.500 0.000
```



3.
## MgTc2Mo (PBE)

Data for an optimized crystal structure of MgTc2Mo.

Summary:
ΔE_f	0.2232	eV per atom
space group	P4mm, No. 99

The structure in CIF format:
```
data_MgTc2Mo
_chemical_formula_sum 'Mg1 Tc2 Mo1'
_space_group_name_H-M_alt 'P 1'
_space_group_IT_number 1
_cell_length_a 2.796
_cell_length_b 2.796
_cell_length_c 8.160
_cell_angle_alpha 90.00
_cell_angle_beta 90.00
_cell_angle_gamma 90.00
loop_
_space_group_symop_operation_xyz
'x,y,z'
loop_
_atom_site_label
_atom_site_type_symbol
_atom_site_fract_x
_atom_site_fract_y
_atom_site_fract_z
Mg1 Mg 0.000 0.000 0.490
Tc1 Tc 0.500 0.500 0.229
Mo1 Mo 0.500 0.500 0.770
Tc2 Tc 0.000 0.000 0.012
```



4.
## HfH (PBE)

Data for an optimized crystal structure of HfH.

Summary:
raw total energy	-6.97	eV/atom
space group	P2_12_12_1, No. 19

The structure in CIF format:
```
data_HfH
_chemical_formula_sum 'Hf8 H8'
_space_group_name_H-M_alt 'P 1'
_space_group_IT_number 1
_cell_length_a 5.265
_cell_length_b 5.281
_cell_length_c 6.962
_cell_angle_alpha 90.00
_cell_angle_beta 90.00
_cell_angle_gamma 90.00
loop_
_space_group_symop_operation_xyz
'x,y,z'
loop_
_atom_site_label
_atom_site_type_symbol
_atom_site_fract_x
_atom_site_fract_y
_atom_site_fract_z
Hf1 Hf 0.758 0.002 0.248
Hf2 Hf 0.252 0.990 0.002
Hf3 Hf 0.258 0.498 0.752
Hf4 Hf 0.248 0.010 0.502
H1 H 0.383 0.645 0.503
H2 H 0.883 0.855 0.497
H3 H 0.610 0.637 0.250
Hf5 Hf 0.242 0.502 0.252
H4 H 0.390 0.137 0.250
Hf6 Hf 0.748 0.490 0.498
Hf7 Hf 0.742 0.998 0.748
H5 H 0.117 0.355 0.003
Hf8 Hf 0.752 0.510 0.998
H6 H 0.617 0.145 0.997
H7 H 0.110 0.863 0.750
H8 H 0.890 0.363 0.750
```



5.
## Cs3DyTe2O8 (PBE)

Data for an optimized crystal structure of Cs3DyTe2O8.

Summary:
space group	P-3m1, No. 164
uncorrected formation energy	-1655	meV per atom

The structure in CIF format:
```
data_Cs3DyTe2O8
_chemical_formula_sum 'Cs3 Dy1 Te2 O8'
_space_group_name_H-M_alt 'P 1'
_space_group_IT_number 1
_cell_length_a 6.475
_cell_length_b 6.475
_cell_length_c 8.663
_cell_angle_alpha 90.00
_cell_angle_beta 90.00
_cell_angle_gamma 120.00
loop_
_space_group_symop_operation_xyz
'x,y,z'
loop_
_atom_site_label
_atom_site_type_symbol
_atom_site_fract_x
_atom_site_fract_y
_atom_site_fract_z
O1 O 0.333 0.667 0.096
O2 O 0.840 0.681 0.663
O3 O 0.160 0.319 0.337
O4 O 0.840 0.160 0.663
Cs1 Cs 0.667 0.333 0.228
Te1 Te 0.667 0.333 0.691
O5 O 0.319 0.160 0.663
Dy1 Dy 0.000 0.000 0.500
Cs2 Cs 0.333 0.667 0.772
O6 O 0.160 0.840 0.337
Te2 Te 0.333 0.667 0.309
Cs3 Cs 0.000 0.000 0.000
O7 O 0.667 0.333 0.904
O8 O 0.681 0.840 0.337
```



6.
## EuC2S2N2 (PBE)

Data for an optimized crystal structure of EuC2S2N2.

Summary:
space group	C2/c, No. 15
uncorrected formation energy	-429	meV per atom

The structure in CIF format:
```
data_EuC2S2N2
_chemical_formula_sum 'Eu2 C4 S4 N4'
_space_group_name_H-M_alt 'P 1'
_space_group_IT_number 1
_cell_length_a 6.016
_cell_length_b 6.016
_cell_length_c 8.111
_cell_angle_alpha 89.36
_cell_angle_beta 89.36
_cell_angle_gamma 66.08
loop_
_space_group_symop_operation_xyz
'x,y,z'
loop_
_atom_site_label
_atom_site_type_symbol
_atom_site_fract_x
_atom_site_fract_y
_atom_site_fract_z
N1 N 0.156 0.725 0.552
Eu1 Eu 0.092 0.908 0.250
C1 C 0.759 0.479 0.396
N2 N 0.275 0.844 0.948
C2 C 0.521 0.241 0.104
S1 S 0.246 0.352 0.177
S2 S 0.352 0.246 0.677
N3 N 0.725 0.156 0.052
C3 C 0.241 0.521 0.604
S3 S 0.648 0.754 0.323
Eu2 Eu 0.908 0.092 0.750
S4 S 0.754 0.648 0.823
C4 C 0.479 0.759 0.896
N4 N 0.844 0.275 0.448
```



7.
## MgTa3Cd (PBE)

Data for an optimized crystal structure of MgTa3Cd.

Summary:
ΔE_f	2.0303	eV per atom
space group	Pm-3m, No. 221

The structure in CIF format:
```
data_MgTa3Cd
_chemical_formula_sum 'Mg1 Ta3 Cd1'
_space_group_name_H-M_alt 'P 1'
_space_group_IT_number 1
_cell_length_a 5.002
_cell_length_b 5.002
_cell_length_c 5.002
_cell_angle_alpha 90.00
_cell_angle_beta 90.00
_cell_angle_gamma 90.00
loop_
_space_group_symop_operation_xyz
'x,y,z'
loop_
_atom_site_label
_atom_site_type_symbol
_atom_site_fract_x
_atom_site_fract_y
_atom_site_fract_z
Ta1 Ta 0.000 0.000 0.500
Mg1 Mg 0.500 0.500 0.500
Ta2 Ta 0.000 0.500 0.000
Ta3 Ta 0.500 0.000 0.000
Cd1 Cd 0.000 0.000 0.000
```



8.
## ZrScHN2 (PBE)

Data for an optimized crystal structure of ZrScHN2.

Summary:
raw total energy	-7.57	eV/atom
space group	P4/mmm, No. 123

The structure in CIF format:
```
data_ZrScHN2
_chemical_formula_sum 'Zr1 Sc1 H1 N2'
_space_group_name_H-M_alt 'P 1'
_space_group_IT_number 1
_cell_length_a 4.218
_cell_length_b 3.586
_cell_length_c 4.218
_cell_angle_alpha 90.00
_cell_angle_beta 90.00
_cell_angle_gamma 90.00
loop_
_space_group_symop_operation_xyz
'x,y,z'
loop_
_atom_site_label
_atom_site_type_symbol
_atom_site_fract_x
_atom_site_fract_y
_atom_site_fract_z
N1 N 0.500 0.000 0.000
Sc1 Sc 0.500 0.500 0.500
N2 N 0.000 0.000 0.500
H1 H 0.000 0.500 0.000
Zr1 Zr 0.000 0.000 0.000
```



9.
## Cd5In7 (PBE)

Data for an optimized crystal structure of Cd5In7.

Summary:
ΔE_f	0.0211	eV per atom
space group	Pmm2, No. 25

The structure in CIF format:
```
data_Cd5In7
_chemical_formula_sum 'Cd5 In7'
_space_group_name_H-M_alt 'P 1'
_space_group_IT_number 1
_cell_length_a 3.273
_cell_length_b 9.466
_cell_length_c 9.830
_cell_angle_alpha 90.00
_cell_angle_beta 90.00
_cell_angle_gamma 90.00
loop_
_space_group_symop_operation_xyz
'x,y,z'
loop_
_atom_site_label
_atom_site_type_symbol
_atom_site_fract_x
_atom_site_fract_y
_atom_site_fract_z
Cd1 Cd 0.000 0.491 0.500
Cd2 Cd 0.000 0.002 0.827
In1 In 0.500 0.751 0.665
In2 In 0.000 0.494 0.831
In3 In 0.500 0.751 0.335
In4 In 0.500 0.232 0.000
In5 In 0.000 0.494 0.169
Cd3 Cd 0.500 0.253 0.334
In6 In 0.000 0.015 0.500
Cd4 Cd 0.000 0.002 0.173
Cd5 Cd 0.500 0.253 0.666
In7 In 0.500 0.761 0.000
```



10.
## Ba8Pt3Br4 (PBE)

Data for an optimized crystal structure of Ba8Pt3Br4.

Summary:
space group	R-3m, No. 166
uncorrected formation energy	-1204	meV per atom

The structure in CIF format:
```
data_Ba8Pt3Br4
_chemical_formula_sum 'Ba8 Pt3 Br4'
_space_group_name_H-M_alt 'P 1'
_space_group_IT_number 1
_cell_length_a 9.372
_cell_length_b 9.372
_cell_length_c 10.245
_cell_angle_alpha 62.78
_cell_angle_beta 62.78
_cell_angle_gamma 60.00
loop_
_space_group_symop_operation_xyz
'x,y,z'
loop_
_atom_site_label
_atom_site_type_symbol
_atom_site_fract_x
_atom_site_fract_y
_atom_site_fract_z
Ba1 Ba 0.784 0.256 0.704
Ba2 Ba 0.230 0.230 0.309
Pt1 Pt 0.000 0.500 0.500
Ba3 Ba 0.744 0.216 0.296
Pt2 Pt 0.000 0.000 0.500
Br1 Br 0.500 0.500 0.500
Pt3 Pt 0.500 0.000 0.500
Ba4 Ba 0.256 0.256 0.704
Ba5 Ba 0.770 0.770 0.691
Br2 Br 0.358 0.358 0.927
Ba6 Ba 0.744 0.744 0.296
Ba7 Ba 0.256 0.784 0.704
Ba8 Ba 0.216 0.744 0.296
Br3 Br 0.000 0.000 0.000
Br4 Br 0.642 0.642 0.073
```



Number 1: total magnetic moment 0.00 Bohr magnetons per cell. Number 2: total magnetic moment 0.02 Bohr magnetons per cell. Number 3: total magnetic moment 0.00 Bohr magnetons per cell. Number 4: total magnetic moment 0.00 Bohr magnetons per cell. Number 5: total magnetic moment 1.59 Bohr magnetons per cell. Number 6: total magnetic moment 14.00 Bohr magnetons per cell. Number 7: total magnetic moment 0.00 Bohr magnetons per cell. Number 8: total magnetic moment 0.00 Bohr magnetons per cell. Number 9: total magnetic moment 0.00 Bohr magnetons per cell. Number 10: total magnetic moment 0.97 Bohr magnetons per cell.